# 1
Na3IrRh3Se8 | PBE | relaxed

a = 7.591 Å, b = 7.594 Å, c = 7.974 Å
α = 118.48°, β = 90.00°, γ = 119.99°
Positions (direct):
Se  0.269  0.040  0.311
Se  0.731  0.960  0.689
Se  0.230  0.960  0.689
Se  0.770  0.040  0.311
Se  0.230  0.459  0.689
Se  0.271  0.541  0.312
Se  0.729  0.459  0.688
Se  0.770  0.541  0.311
Rh  0.500  0.500  0.500
Rh  0.500  0.000  0.500
Rh  0.000  0.500  0.500
Ir  0.000  0.000  0.500
Na  0.000  0.500  0.000
Na  0.500  0.500  0.000
Na  0.000  0.000  0.000

The space-group type is C2/m. The density of states at the Fermi level is 10.51 states/eV per cell. The value obtained for the size of the total moment is 0.00 μB/f.u. For the uncorrected formation energy, the calculation gives -0.591 eV/atom. For the energy, the calculation gives -71.6 eV per cell.



# 2
ErZr2Fe | PBE | relaxed

a = 3.268 Å, b = 3.268 Å, c = 10.075 Å
α = 80.67°, β = 80.67°, γ = 60.00°
Last column: magnetic moment on the atom in μB.
Positions (direct):
Zr  0.108  0.108  0.676  -0.08
Zr  0.892  0.892  0.324  -0.08
Er  0.000  0.000  0.000  -0.03
Fe  0.500  0.500  0.500  0.38

The space-group type is R-3m. The density of states at the Fermi level is 4.90 states/eV per cell. The value obtained for the size of the total moment is 0.10 μB/f.u. For the energy, the calculation gives -28.9 eV per cell. For the energy relative to the lowest polymorph listed for this composition, the calculation gives 36.5 kJ/mol of atoms. The formation energy is 0.312 eV per atom.



# 3
YSiP2 | PBE | relaxed

a = 4.753 Å, b = 4.753 Å, c = 4.753 Å
α = 60.00°, β = 60.00°, γ = 60.00°
Positions (direct):
P  0.000  0.000  0.000
P  0.250  0.250  0.250
Y  0.750  0.750  0.750
Si  0.500  0.500  0.500

The space-group type is F-43m. The density of states at the Fermi level is 3.34 states/eV per cell. The value obtained for the size of the total moment is 0.00 μB/f.u. For the uncorrected formation energy, the calculation gives 0.147 eV/atom. For the energy, the calculation gives -22.1 eV per cell.



Copy entry 3 word for word.
YSiP2 | PBE | relaxed

a = 4.753 Å, b = 4.753 Å, c = 4.753 Å
α = 60.00°, β = 60.00°, γ = 60.00°
Positions (direct):
P  0.000  0.000  0.000
P  0.250  0.250  0.250
Y  0.750  0.750  0.750
Si  0.500  0.500  0.500

The space-group type is F-43m. The density of states at the Fermi level is 3.34 states/eV per cell. The value obtained for the size of the total moment is 0.00 μB/f.u. For the uncorrected formation energy, the calculation gives 0.147 eV/atom. For the energy, the calculation gives -22.1 eV per cell.



Copy entry 1 word for word.
Na3IrRh3Se8 | PBE | relaxed

a = 7.591 Å, b = 7.594 Å, c = 7.974 Å
α = 118.48°, β = 90.00°, γ = 119.99°
Positions (direct):
Se  0.269  0.040  0.311
Se  0.731  0.960  0.689
Se  0.230  0.960  0.689
Se  0.770  0.040  0.311
Se  0.230  0.459  0.689
Se  0.271  0.541  0.312
Se  0.729  0.459  0.688
Se  0.770  0.541  0.311
Rh  0.500  0.500  0.500
Rh  0.500  0.000  0.500
Rh  0.000  0.500  0.500
Ir  0.000  0.000  0.500
Na  0.000  0.500  0.000
Na  0.500  0.500  0.000
Na  0.000  0.000  0.000

The space-group type is C2/m. The density of states at the Fermi level is 10.51 states/eV per cell. The value obtained for the size of the total moment is 0.00 μB/f.u. For the uncorrected formation energy, the calculation gives -0.591 eV/atom. For the energy, the calculation gives -71.6 eV per cell.